No. 1
VASP calculation (PBE) on a relaxed structure of MnCd2Sn.

Total magnetic moment = 11.8 μB/cell
Energy = -3.300 eV/atom
N(E_F) = 7.24 states/eV per cell

Cell lengths 3.0586, 3.0586, 34.5825 Å; angles 90.00, 90.00, 120.00 degrees
Space group R-3m (No. 166, hexagonal axes)
Unique sites:
Mn 0.0000 0.0000 0.0000 [3 per cell]
Cd 0.0000 0.0000 0.0810 [6 per cell]
Sn 0.0000 0.0000 0.5000 [3 per cell]



No. 2
VASP calculation (PBE) on a relaxed structure of ScTaTe2.

Total magnetic moment = 8.1 μB/cell
Energy above the lowest structure with this stoichiometry = 646 meV per atom
E_form (uncorrected) = 0.43 eV/f.u.
Energy = -6.011 eV/atom
N(E_F) = 16.29 states/eV per cell

Cell lengths 6.2833, 6.2833, 13.4209 Å; angles 90.00, 90.00, 90.00 degrees
Space group I-42d (No. 122)
Unique sites:
Sc 0.0000 0.0000 0.0000 [4 per cell]
Ta 0.0000 0.0000 0.5000 [4 per cell]
Te 0.2349 0.2500 0.6250 [8 per cell]



Number 2 is which compound?
ScTaTe2



What is the total magnetic moment in the second record?
8.1 μB/cell



The highest energy belongs to which entry?
MnCd2Sn